[1]
Below is a geometry-optimized Tb5Pm6Sm structure, with properties calculated at the PBE level.

The structure in CIF format:
```
data_Tb5Pm6Sm
_symmetry_space_group_name_H-M 'I m m m'
_symmetry_Int_Tables_number 71
_symmetry_space_group_name_Hall '-I 2 2'
_cell_length_a 5.1089
_cell_length_b 10.1995
_cell_length_c 15.3249
_cell_angle_alpha 90.00
_cell_angle_beta 90.00
_cell_angle_gamma 90.00
loop_
_atom_site_label
_atom_site_type_symbol
_atom_site_fract_x
_atom_site_fract_y
_atom_site_fract_z
Tb1 Tb 0.0000 0.0000 0.0000
Tb2 Tb 0.0000 0.0000 0.3331
Tb3 Tb 0.0000 0.5000 0.3332
Pm1 Pm 0.0000 0.2494 0.1668
Pm2 Pm 0.0000 0.2510 0.5000
Sm1 Sm 0.0000 0.5000 0.0000
```

***

[2]
Below is a geometry-optimized K2TiMn structure, with properties calculated at the PBE level.

The structure in CIF format:
```
data_K2TiMn
_symmetry_space_group_name_H-M 'F m -3 m'
_symmetry_Int_Tables_number 225
_symmetry_space_group_name_Hall '-F 4 2 3'
_cell_length_a 8.4646
_cell_length_b 8.4646
_cell_length_c 8.4646
_cell_angle_alpha 90.00
_cell_angle_beta 90.00
_cell_angle_gamma 90.00
loop_
_atom_site_label
_atom_site_type_symbol
_atom_site_fract_x
_atom_site_fract_y
_atom_site_fract_z
K1 K 0.2500 0.2500 0.2500
Ti1 Ti 0.0000 0.0000 0.0000
Mn1 Mn 0.0000 0.0000 0.5000
```

***

Uncorrected energy: -112.39; -53.66 (eV/cell)